Record 1
The following is a DFT calculation (meta-GGA SCAN) of La3TiTc at its PBEsol-relaxed geometry.

- Formation energy from the elements: 328 meV/atom
- Total energy: -35.75 eV/atom
- N(E_F): 6.29 states/eV/cell

a b c (Å): 5.367 5.367 5.367
angles (deg): 90.00 90.00 90.00
Space group Pm-3m (No. 221)
Symmetry-distinct sites (fractional):
La 0.000 0.000 0.500 [3 per cell]
Ti 0.500 0.500 0.500 [1 per cell]
Tc 0.000 0.000 0.000 [1 per cell]



Record 2
The following is a DFT calculation (meta-GGA SCAN) of KIrAu2 at its PBEsol-relaxed geometry.

- Formation energy from the elements: 421 meV/atom
- Total energy: -54.01 eV/atom
- N(E_F): 6.25 states/eV/cell

a b c (Å): 2.8541 2.8541 30.5410
angles (deg): 90.00 90.00 120.00
Space group R-3m (No. 166, hexagonal axes)
Symmetry-distinct sites (fractional):
K 0.0000 0.0000 0.0000 [3 per cell]
Ir 0.0000 0.0000 0.5000 [3 per cell]
Au 0.0000 0.0000 0.2417 [6 per cell]



Record 3
The following is a DFT calculation (meta-GGA SCAN) of TcRu at its PBEsol-relaxed geometry.

- Formation energy from the elements: -59 meV/atom
- Total energy: -35.00 eV/atom
- N(E_F): 3.54 states/eV/cell

a b c (Å): 2.705 4.279 4.692
angles (deg): 90.00 90.00 90.00
Space group Pmmn (No. 59, origin choice 2)
Symmetry-distinct sites (fractional):
Tc 0.250 0.250 0.087 [2 per cell]
Ru 0.250 0.750 0.418 [2 per cell]



Record 4
The following is a DFT calculation (meta-GGA SCAN) of BeAlHg2 at its PBEsol-relaxed geometry.

- Formation energy from the elements: 274 meV/atom
- Total energy: -36.84 eV/atom
- N(E_F): 0.98 states/eV/cell

a b c (Å): 2.931 2.931 8.103
angles (deg): 90.00 90.00 90.00
Space group P4mm (No. 99)
Symmetry-distinct sites (fractional):
Be 0.000 0.000 0.000 [1 per cell]
Al 0.500 0.500 0.189 [1 per cell]
Hg 0.000 0.000 0.467 [1 per cell]
Hg 0.500 0.500 0.788 [1 per cell]



> Which of these has the lowest N(E_F)?

BeAlHg2



> N(E_F) of number 2 (KIrAu2)?

6.25 states/eV/cell